1.
Below is a relaxed structure of Tb3Au5Se12, with properties calculated at the PBE-GGA level.

## Properties
crystal system = cubic
raw total energy = -4.17 eV per atom
formation energy (no corrections) = -570 meV per atom
SG = Ia-3d, No. 230

POSCAR file:
```
Tb3Au5Se12
1.0
13.933 0.000 0.000
-4.644 13.136 0.000
-4.644 -6.568 11.376
Se Tb Au
48 12 20
Direct
0.589 0.634 0.421 Se
0.366 0.956 0.787 Se
0.213 0.544 0.634 Se
0.089 0.168 0.456 Se
0.579 0.866 0.411 Se
0.668 0.213 0.579 Se
0.287 0.421 0.832 Se
0.544 0.332 0.911 Se
0.921 0.089 0.634 Se
0.134 0.421 0.089 Se
0.134 0.713 0.544 Se
0.832 0.921 0.287 Se
0.456 0.668 0.089 Se
0.079 0.168 0.213 Se
0.456 0.787 0.866 Se
0.421 0.134 0.589 Se
0.787 0.332 0.921 Se
0.411 0.044 0.332 Se
0.168 0.089 0.956 Se
0.668 0.456 0.589 Se
0.044 0.634 0.713 Se
0.589 0.956 0.668 Se
0.332 0.544 0.411 Se
0.921 0.832 0.787 Se
0.287 0.866 0.956 Se
0.089 0.921 0.134 Se
0.911 0.832 0.544 Se
0.168 0.079 0.713 Se
0.544 0.213 0.134 Se
0.911 0.079 0.866 Se
0.866 0.287 0.456 Se
0.866 0.579 0.911 Se
0.634 0.589 0.921 Se
0.044 0.411 0.832 Se
0.079 0.911 0.366 Se
0.787 0.456 0.366 Se
0.579 0.713 0.668 Se
0.366 0.411 0.079 Se
0.713 0.134 0.044 Se
0.411 0.366 0.579 Se
0.332 0.787 0.421 Se
0.634 0.044 0.213 Se
0.213 0.668 0.079 Se
0.832 0.911 0.044 Se
0.956 0.589 0.168 Se
0.421 0.287 0.332 Se
0.713 0.579 0.168 Se
0.956 0.366 0.287 Se
0.125 0.875 0.750 Tb
0.250 0.625 0.875 Tb
0.750 0.375 0.125 Tb
0.875 0.125 0.250 Tb
0.375 0.750 0.625 Tb
0.625 0.375 0.750 Tb
0.875 0.750 0.125 Tb
0.625 0.250 0.375 Tb
0.375 0.625 0.250 Tb
0.750 0.875 0.625 Tb
0.250 0.125 0.375 Tb
0.125 0.250 0.875 Tb
0.500 0.500 0.500 Au
0.000 0.500 0.000 Au
0.500 0.000 0.000 Au
0.625 0.875 0.250 Au
0.000 0.000 0.000 Au
0.125 0.750 0.375 Au
0.000 0.500 0.500 Au
0.250 0.875 0.125 Au
0.875 0.625 0.750 Au
0.500 0.500 0.000 Au
0.750 0.625 0.375 Au
0.875 0.250 0.625 Au
0.375 0.125 0.750 Au
0.375 0.250 0.125 Au
0.625 0.750 0.875 Au
0.125 0.375 0.250 Au
0.000 0.000 0.500 Au
0.750 0.125 0.875 Au
0.250 0.375 0.625 Au
0.500 0.000 0.500 Au
```

2.
Below is a relaxed structure of Rb3Pa3HgTe8, with properties calculated at the PBE-GGA level.

## Properties
crystal system = trigonal
raw total energy = -4.60 eV per atom
formation energy (no corrections) = -810 meV per atom
SG = R-3m, No. 166

POSCAR file:
```
Rb3Pa3HgTe8
1.0
-0.278 7.410 5.318
2.337 -8.073 3.544
6.722 4.499 -5.921
Te Rb Hg Pa
8 3 1 3
Direct
0.735 0.469 0.704 Te
0.265 0.531 0.296 Te
0.243 0.487 0.698 Te
0.757 0.513 0.302 Te
0.757 0.046 0.302 Te
0.289 0.046 0.302 Te
0.243 0.954 0.698 Te
0.711 0.954 0.698 Te
0.500 0.500 0.000 Rb
0.000 0.000 0.000 Rb
0.000 0.500 0.000 Rb
0.000 0.000 0.500 Hg
0.000 0.500 0.500 Pa
0.500 0.500 0.500 Pa
0.500 0.000 0.500 Pa
```

3.
Below is a relaxed structure of Sm3DyBi2, with properties calculated at the PBE-GGA level.

## Properties
crystal system = monoclinic
raw total energy = -4.93 eV per atom
ΔE_f = -3.05 eV/f.u.
ΔE to the lowest computed polymorph = 0.128 eV/atom
SG = C2/m, No. 12

POSCAR file:
```
Sm3DyBi2
1.0
4.396 0.000 0.000
-2.198 10.489 -0.812
0.000 -5.350 8.695
Bi Sm Dy
4 6 2
Direct
0.494 0.987 0.831 Bi
0.506 0.013 0.169 Bi
0.748 0.495 0.219 Bi
0.252 0.505 0.781 Bi
0.355 0.710 0.186 Sm
0.055 0.110 0.439 Sm
0.645 0.290 0.814 Sm
0.945 0.890 0.561 Sm
0.688 0.376 0.483 Sm
0.312 0.624 0.517 Sm
0.110 0.219 0.110 Dy
0.890 0.781 0.890 Dy
```

4.
Below is a relaxed structure of Cd2CoCu, with properties calculated at the PBE-GGA level.

## Properties
crystal system = trigonal
raw total energy = -2.98 eV per atom
ΔE_f = 1.11 eV/f.u.
ΔE to the lowest computed polymorph = 0.065 eV/atom
SG = R-3m, No. 166

POSCAR file:
```
Cd2CoCu
1.0
9.179 0.021 0.013
8.720 2.868 0.013
8.720 1.408 2.499
Cd Co Cu
2 1 1
Direct
0.501 0.501 0.501 Cd
0.999 0.999 0.999 Cd
0.250 0.250 0.250 Co
0.750 0.750 0.750 Cu
```

5.
Below is a relaxed structure of NdNbRh2, with properties calculated at the PBE-GGA level.

## Properties
crystal system = tetragonal
raw total energy = -7.83 eV per atom
ΔE_f = -1.77 eV/f.u.
SG = P4/mmm, No. 123

POSCAR file:
```
NdNbRh2
1.0
3.231 0.000 0.000
0.000 3.231 0.000
0.000 0.000 7.388
Nd Rh Nb
1 2 1
Direct
0.500 0.500 0.500 Nd
0.000 0.000 0.198 Rh
0.000 0.000 0.802 Rh
0.500 0.500 0.000 Nb
```

6.
Below is a relaxed structure of Pa3MnTl3Te8, with properties calculated at the PBE-GGA level.

## Properties
crystal system = monoclinic
raw total energy = -5.21 eV per atom
formation energy (no corrections) = -556 meV per atom
SG = C2/m, No. 12

POSCAR file:
```
Pa3MnTl3Te8
1.0
-4.713 -6.194 -3.758
8.549 0.249 -1.204
-3.031 -3.041 8.818
Pa Te Mn Tl
3 8 1 3
Direct
0.500 0.000 0.500 Pa
0.500 0.500 0.500 Pa
0.000 0.500 0.500 Pa
0.740 0.480 0.720 Te
0.771 0.542 0.294 Te
0.749 0.977 0.706 Te
0.229 0.977 0.706 Te
0.260 0.520 0.280 Te
0.771 0.023 0.294 Te
0.229 0.458 0.706 Te
0.251 0.023 0.294 Te
0.000 0.000 0.500 Mn
0.500 0.500 0.000 Tl
0.000 0.500 0.000 Tl
0.000 0.000 0.000 Tl
```

no.,total magnetic moment (μB per cell)
1,0.0
2,3.1
3,0.5
4,1.5
5,0.0
6,9.1